# 1
Computed, not measured: Fe2CuTe after structural relaxation at the GGA-PBE level of DFT.

a b c (Å): 4.3398 4.3398 4.3398
angles (deg): 60.00 60.00 60.00
Fractional positions:
1 Fe 0.0000 0.0000 0.0000
2 Cu 0.5000 0.5000 0.5000
3 Fe 0.2500 0.2500 0.2500
4 Te 0.7500 0.7500 0.7500

Computed properties:
ρ in g/cm³: 8.701
Size of the total moment in Bohr magnetons per cell: 4.53
Formation energy (no corrections) in eV per atom: 0.3918
D(E_F) in states/eV/atom: 0.35

=====

# 2
Computed, not measured: KCeHgPb after structural relaxation at the GGA-PBE level of DFT.

a b c (Å): 5.6477 5.6477 5.6477
angles (deg): 60.00 60.00 60.00
Fractional positions:
1 Ce 0.5000 0.5000 0.5000
2 Pb 0.2500 0.2500 0.2500
3 K 0.0000 0.0000 0.0000
4 Hg 0.7500 0.7500 0.7500

Computed properties:
ρ in g/cm³: 7.652
Size of the total moment in Bohr magnetons per cell: 1.08
ΔH_f (0 K) in kJ/mol of formula units: -70
D(E_F) in states/eV/atom: 2.00

=====

# 3
Computed, not measured: PrIn6Hg8 after structural relaxation at the GGA-PBE level of DFT.

a b c (Å): 7.5267 7.5267 7.5267
angles (deg): 80.42 80.42 80.42
Fractional positions:
1 Pr 0.0000 0.0000 0.0000
2 Hg 0.4067 0.8363 0.0914
3 Hg 0.2180 0.2180 0.2180
4 In 0.8018 0.4140 0.6017
5 In 0.3983 0.1982 0.5860
6 Hg 0.5933 0.1637 0.9086
7 Hg 0.0914 0.4067 0.8363
8 Hg 0.8363 0.0914 0.4067
9 In 0.6017 0.8018 0.4140
10 In 0.1982 0.5860 0.3983
11 Hg 0.9086 0.5933 0.1637
12 In 0.5860 0.3983 0.1982
13 In 0.4140 0.6017 0.8018
14 Hg 0.7820 0.7820 0.7820
15 Hg 0.1637 0.9086 0.5933

Computed properties:
ρ in g/cm³: 9.852
Size of the total moment in Bohr magnetons per cell: 0.00
ΔH_f (0 K) in kJ/mol of formula units: -74
D(E_F) in states/eV/atom: 0.44

=====

# 4
Computed, not measured: Cr2HRu after structural relaxation at the GGA-PBE level of DFT.

a b c (Å): 2.6531 4.6127 6.6258
angles (deg): 103.43 90.00 90.00
Fractional positions:
1 Cr 0.2776 0.1199 0.3778
2 Cr 0.2777 0.5662 0.7256
3 Cr 0.7777 0.0662 0.7256
4 Cr 0.7776 0.6199 0.3777
5 Ru 0.7778 0.8430 0.0517
6 H 0.2776 0.8430 0.5517
7 Ru 0.2778 0.3430 0.0517
8 H 0.7776 0.3430 0.5517

Computed properties:
ρ in g/cm³: 8.678
Size of the total moment in Bohr magnetons per cell: 0.00
Energy above the most stable polymorph in this dataset in meV per atom: 3.5
D(E_F) in states/eV/atom: 0.99

=====

# 5
Computed, not measured: KYNi2 after structural relaxation at the GGA-PBE level of DFT.

a b c (Å): 3.5331 3.5585 8.3697
angles (deg): 65.21 90.00 90.00
Fractional positions:
1 Y 0.5000 0.2500 0.2500
2 Ni 0.0000 0.5829 0.4201
3 K 0.5000 0.7500 0.7500
4 Ni 0.0000 0.9171 0.0799

Computed properties:
ρ in g/cm³: 4.265
Size of the total moment in Bohr magnetons per cell: 0.03
ΔH_f (0 K) in kJ/mol of formula units: 60
Energy above the most stable polymorph in this dataset in meV per atom: 124.3
D(E_F) in states/eV/atom: 1.08

=====

# 6
Computed, not measured: Er3Ga9Tc2 after structural relaxation at the GGA-PBE level of DFT.

a b c (Å): 4.2345 8.1450 8.1450
angles (deg): 70.71 74.93 74.93
Fractional positions:
1 Er 0.6993 0.3007 0.3007
2 Ga 0.3477 0.2873 0.0173
3 Tc 0.5000 0.6740 0.3260
4 Ga 0.8669 0.4171 0.8491
5 Ga 0.3477 0.0173 0.2873
6 Er 0.3007 0.6993 0.6993
7 Ga 0.6523 0.9827 0.7127
8 Ga 0.1331 0.1509 0.5829
9 Ga 0.8669 0.8491 0.4171
10 Er 0.0000 0.0000 0.0000
11 Ga 0.0000 0.5000 0.5000
12 Tc 0.5000 0.3260 0.6740
13 Ga 0.1331 0.5829 0.1509
14 Ga 0.6523 0.7127 0.9827

Computed properties:
ρ in g/cm³: 8.756
Size of the total moment in Bohr magnetons per cell: 0.00
ΔH_f (0 K) in kJ/mol of formula units: -649
D(E_F) in states/eV/atom: 0.59

=====

# 7
Computed, not measured: Zn5AuI12 after structural relaxation at the GGA-PBE level of DFT.

a b c (Å): 7.4011 7.0792 15.1773
angles (deg): 88.71 87.52 58.47
Fractional positions:
1 I 0.0170 0.6619 0.1057
2 Au 0.0000 0.0000 0.0000
3 I 0.3758 0.9998 0.1177
4 I 0.3213 0.6621 0.8942
5 I 0.8556 0.9999 0.3932
6 I 0.6787 0.3379 0.1058
7 I 0.5226 0.6664 0.3932
8 I 0.9830 0.3382 0.8943
9 Zn 0.3408 0.3196 0.0002
10 Zn 0.8334 0.3332 0.5000
11 I 0.1444 0.0001 0.6068
12 Zn 0.5000 0.0000 0.5000
13 I 0.6242 0.0002 0.8823
14 I 0.1891 0.3335 0.3932
15 I 0.4774 0.3336 0.6068
16 Zn 0.1666 0.6669 0.5000
17 Zn 0.6593 0.6804 0.9998
18 I 0.8109 0.6665 0.6068

Computed properties:
ρ in g/cm³: 5.019
Size of the total moment in Bohr magnetons per cell: 0.59
Formation energy (no corrections) in eV per atom: -0.3691
D(E_F) in states/eV/atom: 0.28

=====

# 8
Computed, not measured: ZrMnCuTe2 after structural relaxation at the GGA-PBE level of DFT.

a b c (Å): 5.0226 4.7327 5.0226
angles (deg): 90.00 90.00 90.00
Fractional positions:
1 Mn 0.0000 0.0000 0.0000
2 Cu 0.5000 0.5000 0.5000
3 Zr 0.0000 0.5000 0.0000
4 Te 0.0000 0.0000 0.5000
5 Te 0.5000 0.0000 0.0000

Computed properties:
ρ in g/cm³: 6.466
Size of the total moment in Bohr magnetons per cell: 1.63
Formation energy (no corrections) in eV per atom: 0.5454
D(E_F) in states/eV/atom: 0.73

=====

# 9
Computed, not measured: La2InAs after structural relaxation at the GGA-PBE level of DFT.

a b c (Å): 3.7470 3.7470 8.7374
angles (deg): 90.00 90.00 96.68
Fractional positions:
1 In 0.5000 0.5000 0.7038
2 La 0.5000 0.5000 0.3220
3 La 0.0000 0.0000 0.9527
4 As 0.0000 0.0000 0.5214

Computed properties:
ρ in g/cm³: 6.372
Size of the total moment in Bohr magnetons per cell: 0.00
ΔH_f (0 K) in kJ/mol of formula units: -147
Energy above the most stable polymorph in this dataset in meV per atom: 553.9
D(E_F) in states/eV/atom: 1.10

=====

# 10
Computed, not measured: ZrTlCo3 after structural relaxation at the GGA-PBE level of DFT.

a b c (Å): 4.6177 4.6177 4.6177
angles (deg): 90.00 90.00 90.00
Fractional positions:
1 Co 0.5000 0.0000 0.0000
2 Co 0.0000 0.5000 0.0000
3 Tl 0.5000 0.5000 0.5000
4 Zr 0.0000 0.0000 0.0000
5 Co 0.0000 0.0000 0.5000

Computed properties:
ρ in g/cm³: 7.967
Size of the total moment in Bohr magnetons per cell: 1.90
ΔH_f (0 K) in kJ/mol of formula units: 620
Energy above the most stable polymorph in this dataset in meV per atom: 0.0
D(E_F) in states/eV/atom: 0.83

=====

# 11
Computed, not measured: CoAgMo2 after structural relaxation at the GGA-PBE level of DFT.

a b c (Å): 3.1967 3.1967 5.9824
angles (deg): 90.00 90.00 90.00
Fractional positions:
1 Mo 0.5000 0.5000 0.2207
2 Mo 0.0000 0.0000 0.9873
3 Ag 0.0000 0.0000 0.5177
4 Co 0.5000 0.5000 0.7743

Computed properties:
ρ in g/cm³: 9.743
Size of the total moment in Bohr magnetons per cell: 1.39
ΔH_f (0 K) in kJ/mol of formula units: 149
Energy above the most stable polymorph in this dataset in meV per atom: 96.0
D(E_F) in states/eV/atom: 0.86

=====

# 12
Computed, not measured: Na3Sm3RhO8 after structural relaxation at the GGA-PBE level of DFT.

a b c (Å): 6.8581 6.8581 6.8299
angles (deg): 120.13 90.00 120.00
Fractional positions:
1 Sm 0.5000 0.5000 0.5000
2 O 0.7832 0.0151 0.2982
3 O 0.2614 0.5229 0.2842
4 Sm 0.5000 0.0000 0.5000
5 Sm 0.0000 0.5000 0.5000
6 O 0.2318 0.0150 0.2982
7 O 0.7832 0.5665 0.2982
8 Na 0.5000 0.5000 0.0000
9 Na 0.0000 0.0000 0.0000
10 O 0.2168 0.9849 0.7018
11 Rh 0.0000 0.0000 0.5000
12 Na 0.0000 0.5000 0.0000
13 O 0.7682 0.9850 0.7018
14 O 0.7386 0.4771 0.7158
15 O 0.2168 0.4335 0.7018

Computed properties:
ρ in g/cm³: 5.501
Size of the total moment in Bohr magnetons per cell: 1.06
Formation energy (no corrections) in eV per atom: -2.2572
D(E_F) in states/eV/atom: 0.49